Pm5Pr4Dy3: optimized geometry, PBE.

Cell and atoms, written as CIF:
```
data_Pm5Pr4Dy3
_cell_length_a 16.4343
_cell_length_b 6.0254
_cell_length_c 9.4928
_cell_angle_alpha 90.00
_cell_angle_beta 116.53
_cell_angle_gamma 90.00
_symmetry_space_group_name_H-M 'C 1 2/m 1'
_symmetry_Int_Tables_number 12
_symmetry_space_group_name_Hall '-C 2y'
loop_
_atom_site_label
_atom_site_type_symbol
_atom_site_fract_x
_atom_site_fract_y
_atom_site_fract_z
Pm1 Pm 0.0000 0.0000 0.0000
Pm2 Pm 0.0735 0.5000 0.7015
Pm3 Pm 0.1717 0.5000 0.3887
Pr1 Pr 0.0831 0.0000 0.4422
Pr2 Pr 0.2174 0.0000 0.8788
Dy1 Dy 0.0000 0.5000 0.0000
Dy2 Dy 0.2089 0.0000 0.2285
```

Properties
* total energy: -54.2 eV/f.u.
* DFT formation energy: 207 meV per atom
* DOS at the Fermi energy: 20.2 states/eV/f.u.

Rb2CrS4: optimized geometry, PBE.

Cell and atoms, written as CIF:
```
data_Rb2CrS4
_cell_length_a 4.7652
_cell_length_b 4.7652
_cell_length_c 16.5689
_cell_angle_alpha 90.00
_cell_angle_beta 90.00
_cell_angle_gamma 90.00
_symmetry_space_group_name_H-M 'I 4/m m m'
_symmetry_Int_Tables_number 139
_symmetry_space_group_name_Hall '-I 4 2'
loop_
_atom_site_label
_atom_site_type_symbol
_atom_site_fract_x
_atom_site_fract_y
_atom_site_fract_z
Rb1 Rb 0.0000 0.0000 0.1500
Cr1 Cr 0.0000 0.0000 0.5000
S1 S 0.0000 0.0000 0.3618
S2 S 0.0000 0.5000 0.0000
```

Properties
* total energy: -31.5 eV/f.u.
* energy relative to the lowest polymorph listed for this composition: 379 meV/atom
* DOS at the Fermi energy: 7.1 states/eV/f.u.

Th2AlAu: optimized geometry, PBE.

Cell and atoms, written as CIF:
```
data_Th2AlAu
_cell_length_a 4.7604
_cell_length_b 4.7604
_cell_length_c 4.4415
_cell_angle_alpha 90.00
_cell_angle_beta 90.00
_cell_angle_gamma 90.00
_symmetry_space_group_name_H-M 'P 4/m m m'
_symmetry_Int_Tables_number 123
_symmetry_space_group_name_Hall '-P 4 2'
loop_
_atom_site_label
_atom_site_type_symbol
_atom_site_fract_x
_atom_site_fract_y
_atom_site_fract_z
Th1 Th 0.0000 0.5000 0.0000
Al1 Al 0.0000 0.0000 0.5000
Au1 Au 0.5000 0.5000 0.5000
```

Properties
* total energy: -23.3 eV/f.u.
* energy relative to the lowest polymorph listed for this composition: 77 meV/atom
* DFT formation energy: -362 meV per atom
* DOS at the Fermi energy: 4.6 states/eV/f.u.

Mg4InHg3: optimized geometry, PBE.

Cell and atoms, written as CIF:
```
data_Mg4InHg3
_cell_length_a 3.6547
_cell_length_b 4.8955
_cell_length_c 9.7730
_cell_angle_alpha 90.00
_cell_angle_beta 90.00
_cell_angle_gamma 90.00
_symmetry_space_group_name_H-M 'P m m m'
_symmetry_Int_Tables_number 47
_symmetry_space_group_name_Hall '-P 2 2'
loop_
_atom_site_label
_atom_site_type_symbol
_atom_site_fract_x
_atom_site_fract_y
_atom_site_fract_z
Mg1 Mg 0.0000 0.0000 0.0000
Mg2 Mg 0.0000 0.0000 0.5000
Mg3 Mg 0.0000 0.5000 0.2411
In1 In 0.5000 0.5000 0.5000
Hg1 Hg 0.5000 0.0000 0.2522
Hg2 Hg 0.5000 0.5000 0.0000
```

Properties
* total energy: -11.5 eV/f.u.
* DFT formation energy: -183 meV per atom
* DOS at the Fermi energy: 2.0 states/eV/f.u.

K2SrGe2: optimized geometry, PBE.

Cell and atoms, written as CIF:
```
data_K2SrGe2
_cell_length_a 8.1939
_cell_length_b 8.1939
_cell_length_c 5.5645
_cell_angle_alpha 90.00
_cell_angle_beta 90.00
_cell_angle_gamma 90.00
_symmetry_space_group_name_H-M 'P 4/m b m'
_symmetry_Int_Tables_number 127
_symmetry_space_group_name_Hall '-P 4 2ab'
loop_
_atom_site_label
_atom_site_type_symbol
_atom_site_fract_x
_atom_site_fract_y
_atom_site_fract_z
K1 K 0.1732 0.3268 0.0000
Sr1 Sr 0.0000 0.0000 0.5000
Ge1 Ge 0.1023 0.6023 0.5000
```

Properties
* total energy: -13.7 eV/f.u.
* energy relative to the lowest polymorph listed for this composition: 36 meV/atom
* DFT formation energy: -109 meV per atom
* DOS at the Fermi energy: 2.4 states/eV/f.u.

TlTcAs2: optimized geometry, PBE.

Cell and atoms, written as CIF:
```
data_TlTcAs2
_cell_length_a 5.6865
_cell_length_b 7.8727
_cell_length_c 3.4308
_cell_angle_alpha 90.00
_cell_angle_beta 91.11
_cell_angle_gamma 90.00
_symmetry_space_group_name_H-M 'C 1 2/m 1'
_symmetry_Int_Tables_number 12
_symmetry_space_group_name_Hall '-C 2y'
loop_
_atom_site_label
_atom_site_type_symbol
_atom_site_fract_x
_atom_site_fract_y
_atom_site_fract_z
Tl1 Tl 0.0000 0.0000 0.0000
Tc1 Tc 0.0000 0.5000 0.0000
As1 As 0.2500 0.2500 0.5000
```

Properties
* total energy: -19.6 eV/f.u.
* energy relative to the lowest polymorph listed for this composition: 727 meV/atom
* DFT formation energy: 604 meV per atom
* DOS at the Fermi energy: 3.4 states/eV/f.u.

Ac2UPdSe6: optimized geometry, PBE.

Cell and atoms, written as CIF:
```
data_Ac2UPdSe6
_cell_length_a 12.9377
_cell_length_b 7.0518
_cell_length_c 7.4033
_cell_angle_alpha 90.00
_cell_angle_beta 121.13
_cell_angle_gamma 90.00
_symmetry_space_group_name_H-M 'C 1 2/m 1'
_symmetry_Int_Tables_number 12
_symmetry_space_group_name_Hall '-C 2y'
loop_
_atom_site_label
_atom_site_type_symbol
_atom_site_fract_x
_atom_site_fract_y
_atom_site_fract_z
Ac1 Ac 0.2356 0.0000 0.2052
U1 U 0.0000 0.0000 0.5000
Pd1 Pd 0.0000 0.5000 0.0000
Se1 Se 0.0652 0.2605 0.8223
Se2 Se 0.2389 0.0000 0.6217
```

Properties
* total energy: -58.9 eV/f.u.
* DOS at the Fermi energy: 1.1 states/eV/f.u.

Cs3SnBr7: optimized geometry, PBE.

Cell and atoms, written as CIF:
```
data_Cs3SnBr7
_cell_length_a 10.9298
_cell_length_b 10.9298
_cell_length_c 7.7774
_cell_angle_alpha 90.00
_cell_angle_beta 90.00
_cell_angle_gamma 90.00
_symmetry_space_group_name_H-M 'P 4/m b m'
_symmetry_Int_Tables_number 127
_symmetry_space_group_name_Hall '-P 4 2ab'
loop_
_atom_site_label
_atom_site_type_symbol
_atom_site_fract_x
_atom_site_fract_y
_atom_site_fract_z
Cs1 Cs 0.0000 0.0000 0.0000
Cs2 Cs 0.1752 0.3248 0.5000
Sn1 Sn 0.0000 0.5000 0.0000
Br1 Br 0.0000 0.0000 0.5000
Br2 Br 0.1199 0.6199 0.2448
Br3 Br 0.1705 0.3295 0.0000
```

Properties
* total energy: -32.6 eV/f.u.

LiIn2Sn: optimized geometry, PBE.

Cell and atoms, written as CIF:
```
data_LiIn2Sn
_cell_length_a 4.6439
_cell_length_b 4.6849
_cell_length_c 8.7200
_cell_angle_alpha 90.00
_cell_angle_beta 90.70
_cell_angle_gamma 90.00
_symmetry_space_group_name_H-M 'C 1 2/m 1'
_symmetry_Int_Tables_number 12
_symmetry_space_group_name_Hall '-C 2y'
loop_
_atom_site_label
_atom_site_type_symbol
_atom_site_fract_x
_atom_site_fract_y
_atom_site_fract_z
Li1 Li 0.0000 0.0000 0.0000
In1 In 0.0014 0.5000 0.7829
Sn1 Sn 0.0000 0.0000 0.5000
```

Properties
* total energy: -11.8 eV/f.u.
* DFT formation energy: -106 meV per atom
* DOS at the Fermi energy: 1.5 states/eV/f.u.

Zr6OsAu: optimized geometry, PBE.

Cell and atoms, written as CIF:
```
data_Zr6OsAu
_cell_length_a 4.7272
_cell_length_b 4.7272
_cell_length_c 15.0229
_cell_angle_alpha 90.00
_cell_angle_beta 90.00
_cell_angle_gamma 90.00
_symmetry_space_group_name_H-M 'I 4/m m m'
_symmetry_Int_Tables_number 139
_symmetry_space_group_name_Hall '-I 4 2'
loop_
_atom_site_label
_atom_site_type_symbol
_atom_site_fract_x
_atom_site_fract_y
_atom_site_fract_z
Zr1 Zr 0.0000 0.0000 0.2484
Zr2 Zr 0.0000 0.5000 0.1117
Os1 Os 0.0000 0.0000 0.0000
Au1 Au 0.0000 0.0000 0.5000
```

Properties
* total energy: -67.8 eV/f.u.
* DFT formation energy: -246 meV per atom
* DOS at the Fermi energy: 6.2 states/eV/f.u.

Co2ReRh: optimized geometry, PBE.

Cell and atoms, written as CIF:
```
data_Co2ReRh
_cell_length_a 2.6714
_cell_length_b 2.6714
_cell_length_c 25.2299
_cell_angle_alpha 90.00
_cell_angle_beta 90.00
_cell_angle_gamma 120.00
_symmetry_space_group_name_H-M 'R -3 m'
_symmetry_Int_Tables_number 166
_symmetry_space_group_name_Hall '-R 3 2"'
loop_
_atom_site_label
_atom_site_type_symbol
_atom_site_fract_x
_atom_site_fract_y
_atom_site_fract_z
Co1 Co 0.0000 0.0000 0.2504
Re1 Re 0.0000 0.0000 0.0000
Rh1 Rh 0.0000 0.0000 0.5000
```

Properties
* total energy: -33.5 eV/f.u.
* energy relative to the lowest polymorph listed for this composition: 112 meV/atom
* DFT formation energy: 137 meV per atom
* DOS at the Fermi energy: 5.5 states/eV/f.u.

SmDyOs: optimized geometry, PBE.

Cell and atoms, written as CIF:
```
data_SmDyOs
_cell_length_a 6.8201
_cell_length_b 6.8201
_cell_length_c 6.8201
_cell_angle_alpha 90.00
_cell_angle_beta 90.00
_cell_angle_gamma 90.00
_symmetry_space_group_name_H-M 'F -4 3 m'
_symmetry_Int_Tables_number 216
_symmetry_space_group_name_Hall 'F -4 2 3'
loop_
_atom_site_label
_atom_site_type_symbol
_atom_site_fract_x
_atom_site_fract_y
_atom_site_fract_z
Sm1 Sm 0.0000 0.0000 0.0000
Dy1 Dy 0.0000 0.0000 0.5000
Os1 Os 0.2500 0.2500 0.2500
```

Properties
* total energy: -21.0 eV/f.u.
* energy relative to the lowest polymorph listed for this composition: 10 meV/atom
* DFT formation energy: -154 meV per atom
* DOS at the Fermi energy: 1.9 states/eV/f.u.